--- a ---
# GGA-PBE KTa2Cr, optimized geometry
data_KTa2Cr
_space_group_name_H-M_alt 'C m m m'
_space_group_IT_number 65
_space_group_name_Hall '-C 2 2'
_cell_length_a 5.681
_cell_length_b 10.452
_cell_length_c 2.780
_cell_angle_alpha 90.00
_cell_angle_beta 90.00
_cell_angle_gamma 90.00
loop_
_atom_site_label
_atom_site_fract_x
_atom_site_fract_y
_atom_site_fract_z
_atom_site_occupancy
K1 0.000 0.000 0.000 1
Ta1 0.250 0.250 0.500 1
Cr1 0.000 0.500 0.000 1
# Crystal system   orthorhombic



--- b ---
# GGA-PBE KTa2Cr, optimized geometry
data_KTa2Cr
_space_group_name_H-M_alt 'I m m 2'
_space_group_IT_number 44
_space_group_name_Hall 'I 2 -2'
_cell_length_a 3.113
_cell_length_b 4.231
_cell_length_c 15.910
_cell_angle_alpha 90.00
_cell_angle_beta 90.00
_cell_angle_gamma 90.00
loop_
_atom_site_label
_atom_site_fract_x
_atom_site_fract_y
_atom_site_fract_z
_atom_site_occupancy
K1 0.000 0.000 0.000 1
Ta1 0.000 0.000 0.685 1
Ta2 0.000 0.500 0.795 1
Cr1 0.000 0.500 0.301 1
# Crystal system   orthorhombic



--- c ---
# GGA-PBE KTa2Cr, optimized geometry
data_KTa2Cr
_space_group_name_H-M_alt 'P 4 m m'
_space_group_IT_number 99
_space_group_name_Hall 'P 4 -2'
_cell_length_a 3.403
_cell_length_b 3.403
_cell_length_c 8.381
_cell_angle_alpha 90.00
_cell_angle_beta 90.00
_cell_angle_gamma 90.00
loop_
_atom_site_label
_atom_site_fract_x
_atom_site_fract_y
_atom_site_fract_z
_atom_site_occupancy
K1 0.000 0.000 0.000 1
Ta1 0.000 0.000 0.543 1
Ta2 0.500 0.500 0.377 1
Cr1 0.500 0.500 0.667 1
# Crystal system   tetragonal



Quick one: least stable of them? a



--- a ---
# GGA-PBE KTaCr3, optimized geometry
data_KTaCr3
_space_group_name_H-M_alt 'P m -3 m'
_space_group_IT_number 221
_space_group_name_Hall '-P 4 2 3'
_cell_length_a 4.219
_cell_length_b 4.219
_cell_length_c 4.219
_cell_angle_alpha 90.00
_cell_angle_beta 90.00
_cell_angle_gamma 90.00
loop_
_atom_site_label
_atom_site_fract_x
_atom_site_fract_y
_atom_site_fract_z
_atom_site_occupancy
K1 0.000 0.000 0.000 1
Ta1 0.500 0.500 0.500 1
Cr1 0.000 0.000 0.500 1
# Crystal system   cubic



--- b ---
# GGA-PBE KTaCr3, optimized geometry
data_KTaCr3
_space_group_name_H-M_alt 'P m -3 m'
_space_group_IT_number 221
_space_group_name_Hall '-P 4 2 3'
_cell_length_a 4.989
_cell_length_b 4.989
_cell_length_c 4.989
_cell_angle_alpha 90.00
_cell_angle_beta 90.00
_cell_angle_gamma 90.00
loop_
_atom_site_label
_atom_site_fract_x
_atom_site_fract_y
_atom_site_fract_z
_atom_site_occupancy
K1 0.000 0.000 0.000 1
Ta1 0.500 0.500 0.500 1
Cr1 0.000 0.500 0.500 1
# Crystal system   cubic



Quick one: least stable of them? a



--- a ---
# GGA-PBE K2CrTc, optimized geometry
data_K2CrTc
_space_group_name_H-M_alt 'I m m m'
_space_group_IT_number 71
_space_group_name_Hall '-I 2 2'
_cell_length_a 3.309
_cell_length_b 3.571
_cell_length_c 20.726
_cell_angle_alpha 90.00
_cell_angle_beta 90.00
_cell_angle_gamma 90.00
loop_
_atom_site_label
_atom_site_fract_x
_atom_site_fract_y
_atom_site_fract_z
_atom_site_occupancy
K1 0.000 0.000 0.149 1
Cr1 0.000 0.500 0.000 1
Tc1 0.000 0.500 0.500 1
# Crystal system   orthorhombic



--- b ---
# GGA-PBE K2CrTc, optimized geometry
data_K2CrTc
_space_group_name_H-M_alt 'P m m m'
_space_group_IT_number 47
_space_group_name_Hall '-P 2 2'
_cell_length_a 3.425
_cell_length_b 4.618
_cell_length_c 5.956
_cell_angle_alpha 90.00
_cell_angle_beta 90.00
_cell_angle_gamma 90.00
loop_
_atom_site_label
_atom_site_fract_x
_atom_site_fract_y
_atom_site_fract_z
_atom_site_occupancy
K1 0.000 0.000 0.000 1
K2 0.500 0.500 0.000 1
Cr1 0.000 0.500 0.500 1
Tc1 0.500 0.000 0.500 1
# Crystal system   orthorhombic



--- c ---
# GGA-PBE K2CrTc, optimized geometry
data_K2CrTc
_space_group_name_H-M_alt 'F -4 3 m'
_space_group_IT_number 216
_space_group_name_Hall 'F -4 2 3'
_cell_length_a 7.598
_cell_length_b 7.598
_cell_length_c 7.598
_cell_angle_alpha 90.00
_cell_angle_beta 90.00
_cell_angle_gamma 90.00
loop_
_atom_site_label
_atom_site_fract_x
_atom_site_fract_y
_atom_site_fract_z
_atom_site_occupancy
K1 0.000 0.000 0.000 1
K2 0.250 0.250 0.250 1
Cr1 0.000 0.000 0.500 1
Tc1 0.250 0.250 0.750 1
# Crystal system   cubic



Quick one: least stable of them? c



--- a ---
# GGA-PBE K2CrTc, optimized geometry
data_K2CrTc
_space_group_name_H-M_alt 'C 1 m 1'
_space_group_IT_number 8
_space_group_name_Hall 'C -2y'
_cell_length_a 13.097
_cell_length_b 3.283
_cell_length_c 6.287
_cell_angle_alpha 90.00
_cell_angle_beta 114.74
_cell_angle_gamma 90.00
loop_
_atom_site_label
_atom_site_fract_x
_atom_site_fract_y
_atom_site_fract_z
_atom_site_occupancy
K1 0.000 0.000 0.000 1
K2 0.201 0.000 0.677 1
Cr1 0.409 0.000 0.411 1
Tc1 0.289 0.500 0.262 1
# Crystal system   monoclinic



--- b ---
# GGA-PBE K2CrTc, optimized geometry
data_K2CrTc
_space_group_name_H-M_alt 'P 4 m m'
_space_group_IT_number 99
_space_group_name_Hall 'P 4 -2'
_cell_length_a 3.343
_cell_length_b 3.343
_cell_length_c 10.516
_cell_angle_alpha 90.00
_cell_angle_beta 90.00
_cell_angle_gamma 90.00
loop_
_atom_site_label
_atom_site_fract_x
_atom_site_fract_y
_atom_site_fract_z
_atom_site_occupancy
K1 0.000 0.000 0.000 1
K2 0.500 0.500 0.408 1
Cr1 0.500 0.500 0.738 1
Tc1 0.000 0.000 0.667 1
# Crystal system   tetragonal



--- c ---
# GGA-PBE K2CrTc, optimized geometry
data_K2CrTc
_space_group_name_H-M_alt 'C m m m'
_space_group_IT_number 65
_space_group_name_Hall '-C 2 2'
_cell_length_a 5.524
_cell_length_b 11.805
_cell_length_c 2.920
_cell_angle_alpha 90.00
_cell_angle_beta 90.00
_cell_angle_gamma 90.00
loop_
_atom_site_label
_atom_site_fract_x
_atom_site_fract_y
_atom_site_fract_z
_atom_site_occupancy
K1 0.250 0.250 0.000 1
Cr1 0.000 0.000 0.500 1
Tc1 0.000 0.500 0.500 1
# Crystal system   orthorhombic



Quick one: least stable of them? c



--- a ---
# GGA-PBE KCrTe, optimized geometry
data_KCrTe
_space_group_name_H-M_alt 'P -6 m 2'
_space_group_IT_number 187
_space_group_name_Hall 'P -6 2'
_cell_length_a 4.7688
_cell_length_b 4.7688
_cell_length_c 5.1605
_cell_angle_alpha 90.00
_cell_angle_beta 90.00
_cell_angle_gamma 120.00
loop_
_atom_site_label
_atom_site_fract_x
_atom_site_fract_y
_atom_site_fract_z
_atom_site_occupancy
K1 0.0000 0.0000 0.0000 1
Cr1 0.3333 0.6667 0.5000 1
Te1 0.6667 0.3333 0.5000 1
# Crystal system   hexagonal



--- b ---
# GGA-PBE KCrTe, optimized geometry
data_KCrTe
_space_group_name_H-M_alt 'I 4 m m'
_space_group_IT_number 107
_space_group_name_Hall 'I 4 -2'
_cell_length_a 4.019
_cell_length_b 4.019
_cell_length_c 12.490
_cell_angle_alpha 90.00
_cell_angle_beta 90.00
_cell_angle_gamma 90.00
loop_
_atom_site_label
_atom_site_fract_x
_atom_site_fract_y
_atom_site_fract_z
_atom_site_occupancy
K1 0.000 0.000 0.000 1
Cr1 0.000 0.000 0.738 1
Te1 0.000 0.000 0.276 1
# Crystal system   tetragonal



--- c ---
# GGA-PBE KCrTe, optimized geometry
data_KCrTe
_space_group_name_H-M_alt 'F -4 3 m'
_space_group_IT_number 216
_space_group_name_Hall 'F -4 2 3'
_cell_length_a 7.149
_cell_length_b 7.149
_cell_length_c 7.149
_cell_angle_alpha 90.00
_cell_angle_beta 90.00
_cell_angle_gamma 90.00
loop_
_atom_site_label
_atom_site_fract_x
_atom_site_fract_y
_atom_site_fract_z
_atom_site_occupancy
K1 0.000 0.000 0.000 1
Cr1 0.250 0.250 0.250 1
Te1 0.000 0.000 0.500 1
# Crystal system   cubic



Quick one: least stable of them? c



--- a ---
# GGA-PBE KCrTe, optimized geometry
data_KCrTe
_space_group_name_H-M_alt 'F -4 3 m'
_space_group_IT_number 216
_space_group_name_Hall 'F -4 2 3'
_cell_length_a 7.508
_cell_length_b 7.508
_cell_length_c 7.508
_cell_angle_alpha 90.00
_cell_angle_beta 90.00
_cell_angle_gamma 90.00
loop_
_atom_site_label
_atom_site_fract_x
_atom_site_fract_y
_atom_site_fract_z
_atom_site_occupancy
K1 0.000 0.000 0.000 1
Cr1 0.250 0.250 0.750 1
Te1 0.250 0.250 0.250 1
# Crystal system   cubic



--- b ---
# GGA-PBE KCrTe, optimized geometry
data_KCrTe
_space_group_name_H-M_alt 'P 4/n m m'
_space_group_IT_number 129
_cell_length_a 4.289
_cell_length_b 4.289
_cell_length_c 10.849
_cell_angle_alpha 90.00
_cell_angle_beta 90.00
_cell_angle_gamma 90.00
loop_
_space_group_symop_operation_xyz
'x,y,z'
'-x,-y,-z'
'-y+1/2,x,z'
'y+1/2,-x,-z'
'-x+1/2,-y+1/2,z'
'x+1/2,y+1/2,-z'
'y,-x+1/2,z'
'-y,x+1/2,-z'
'x+1/2,-y,-z'
'-x+1/2,y,z'
'-y,-x,-z'
'y,x,z'
'-x,y+1/2,-z'
'x,-y+1/2,z'
'y+1/2,x+1/2,-z'
'-y+1/2,-x+1/2,z'
loop_
_atom_site_label
_atom_site_fract_x
_atom_site_fract_y
_atom_site_fract_z
_atom_site_occupancy
K1 0.250 0.250 0.185 1
Cr1 0.250 0.750 0.500 1
Te1 0.250 0.250 0.648 1
# Crystal system   tetragonal



Quick one: least stable of them? a